# 1
DFT (PBE) results for a relaxed structure of TlTc2Se.

**Fermi-level density of states**: 4.09 states/eV/f.u.
**Uncorrected formation energy**: 714 meV per atom
**E**: -23.73 eV per cell
**ΔE to the lowest computed polymorph**: 0.507 eV/atom
**Space group**: No. 225
**Magnetization**: 0.50 μB per formula unit

abc: 4.5692 4.5692 4.5692
angles: 60.00 60.00 60.00
Element x y z (fractional)
Tc: 0.7500 0.7500 0.7500
Tc: 0.2500 0.2500 0.2500
Se: 0.0000 0.0000 0.0000
Tl: 0.5000 0.5000 0.5000


# 2
DFT (PBE) results for a relaxed structure of CuRuBr.

**Fermi-level density of states**: 2.88 states/eV/f.u.
**Uncorrected formation energy**: 646 meV per atom
**E**: -13.11 eV per cell
**ΔE to the lowest computed polymorph**: 0.000 eV/atom
**Space group**: No. 156
**Magnetization**: 0.00 μB per formula unit

abc: 3.0982 3.0982 6.0096
angles: 90.00 90.00 120.00
Element x y z (fractional)
Cu: 0.6667 0.3333 0.3584
Br: 0.0000 0.0000 0.9760
Ru: 0.3333 0.6667 0.6656


# 3
DFT (PBE) results for a relaxed structure of TaBeW2.

**Fermi-level density of states**: 2.65 states/eV/f.u.
**E**: -40.74 eV per cell
**Space group**: No. 6
**Formation enthalpy at 0 K**: 72 kJ/mol of formula units
**Magnetization**: 0.00 μB per formula unit

abc: 4.4012 2.7393 5.1943
angles: 80.70 90.00 90.00
Element x y z (fractional)
Be: 0.0000 0.4330 0.5029
W: 0.5000 0.2880 0.2461
W: 0.0000 0.0278 0.0125
Ta: 0.5000 0.7511 0.7384


Please write out number 2 again, unchanged.
DFT (PBE) results for a relaxed structure of CuRuBr.

**Fermi-level density of states**: 2.88 states/eV/f.u.
**Uncorrected formation energy**: 646 meV per atom
**E**: -13.11 eV per cell
**ΔE to the lowest computed polymorph**: 0.000 eV/atom
**Space group**: No. 156
**Magnetization**: 0.00 μB per formula unit

abc: 3.0982 3.0982 6.0096
angles: 90.00 90.00 120.00
Element x y z (fractional)
Cu: 0.6667 0.3333 0.3584
Br: 0.0000 0.0000 0.9760
Ru: 0.3333 0.6667 0.6656


Which of these has the lowest E? TaBeW2


Which value of magnetization does entry 2 give? 0.00 μB per formula unit


What did the first record say?
DFT (PBE) results for a relaxed structure of TlTc2Se.

**Fermi-level density of states**: 4.09 states/eV/f.u.
**Uncorrected formation energy**: 714 meV per atom
**E**: -23.73 eV per cell
**ΔE to the lowest computed polymorph**: 0.507 eV/atom
**Space group**: No. 225
**Magnetization**: 0.50 μB per formula unit

abc: 4.5692 4.5692 4.5692
angles: 60.00 60.00 60.00
Element x y z (fractional)
Tc: 0.7500 0.7500 0.7500
Tc: 0.2500 0.2500 0.2500
Se: 0.0000 0.0000 0.0000
Tl: 0.5000 0.5000 0.5000